Density functional theory data (PBE) for crystalline SrScCl2 at its relaxed geometry.

POSCAR file:
```
SrScCl2
1.0
-1.713 -4.667 1.227
2.637 -1.995 -3.910
2.893 -0.484 2.198
Cl Sc Sr
2 1 1
Cartesian
0.462 -3.331 -1.342
0.000 0.000 0.000
0.590 -2.576 1.712
2.765 -1.240 -0.856
```

Results
The value obtained for the energy relative to the elements, uncorrected is -966 meV per atom. As for the space group: P4/mmm. The relative energy among the computed polymorphs is 409 meV per atom. Its crystal system is tetragonal.